Record 1
# LaZnGe3

LaZnGe3 after structural relaxation (PBEsol, the Alexandria database).

It has space group Pm-3m (No. 221), with a = 4.801 Å, b = 4.801 Å, c = 4.801 Å, α = 90.00°, β = 90.00° and γ = 90.00°. The distinct sites, in fractional coordinates, are La at (0.000, 0.000, 0.000), Zn at (0.500, 0.500, 0.500) and Ge at (0.000, 0.500, 0.500).

The electronic total energy is -0.16102 hartree per atom. As for the volume: 110.7 Å³/cell. The total magnetization is 0.00 μB/f.u. The mass density is 6.3 Mg/m³.

Record 2
# KSc2Au

KSc2Au after structural relaxation (PBEsol, the Alexandria database).

It has space group C2/m (No. 12), with a = 6.254 Å, b = 10.736 Å, c = 3.161 Å, α = 90.00°, β = 116.84° and γ = 90.00°. The distinct sites, in fractional coordinates, are K at (0.000, 0.000, 0.000), Sc at (0.250, 0.250, 0.500) and Au at (0.000, 0.500, 0.000).

The electronic total energy is -0.15648 hartree per atom. As for the volume: 189.4 Å³/cell. The total magnetization is 0.00 μB/f.u. The mass density is 5.7 Mg/m³.

Record 3
# Al2GaH2

Al2GaH2 after structural relaxation (PBEsol, the Alexandria database).

It has space group I4/mmm (No. 139), with a = 3.141 Å, b = 3.141 Å, c = 11.350 Å, α = 90.00°, β = 90.00° and γ = 90.00°. The distinct sites, in fractional coordinates, are Al at (0.000, 0.000, 0.147), Ga at (0.000, 0.000, 0.500) and H at (0.000, 0.500, 0.250).

The electronic total energy is -0.12701 hartree per atom. As for the volume: 112.0 Å³/cell. The total magnetization is 0.00 μB/f.u. The mass density is 3.7 Mg/m³.

Please write out number 3 again, unchanged.
# Al2GaH2

Al2GaH2 after structural relaxation (PBEsol, the Alexandria database).

It has space group I4/mmm (No. 139), with a = 3.141 Å, b = 3.141 Å, c = 11.350 Å, α = 90.00°, β = 90.00° and γ = 90.00°. The distinct sites, in fractional coordinates, are Al at (0.000, 0.000, 0.147), Ga at (0.000, 0.000, 0.500) and H at (0.000, 0.500, 0.250).

The electronic total energy is -0.12701 hartree per atom. As for the volume: 112.0 Å³/cell. The total magnetization is 0.00 μB/f.u. The mass density is 3.7 Mg/m³.